(1)
The following is a PBE calculation of a geometry-optimized CsSr3Cr structure, from Alexandria.

Computed properties:
Formation energy from the elements in eV per formula unit: 6.8
N(E_F) in states/eV/f.u.: 4.3
Crystal system: cubic
Volume in Å³/cell: 270.76

Unit cell a=6.469 b=6.469 c=6.469 alpha=90.00 beta=90.00 gamma=90.00
Last column: magnetic moment on the atom in μB.
Sites, in units of the cell vectors:
Sr 0.500 0.000 0.000  0.12
Sr 0.000 0.500 0.000  0.18
Sr 0.000 0.000 0.500  0.27
Cs 0.000 0.000 0.000  0.26
Cr 0.500 0.500 0.500  -4.23

(2)
The following is a PBE calculation of a geometry-optimized Zr2CoReGe structure, from Alexandria.

Computed properties:
Formation energy from the elements in eV per formula unit: 2.1
N(E_F) in states/eV/f.u.: 3.3
Crystal system: tetragonal
Volume in Å³/cell: 95.62

Unit cell a=4.758 b=4.223 c=4.758 alpha=90.00 beta=90.00 gamma=90.00
Sites, in units of the cell vectors:
Zr 0.500 0.000 0.000
Zr 0.000 0.000 0.500
Ge 0.000 0.500 0.000
Co 0.000 0.000 0.000
Re 0.500 0.500 0.500

(3)
The following is a PBE calculation of a geometry-optimized LaDy2Tm8 structure, from Alexandria.

Computed properties:
Formation energy from the elements in eV per formula unit: 1.4
N(E_F) in states/eV/f.u.: 15.2
Crystal system: orthorhombic
Volume in Å³/cell: 347.49
Energy above the most stable polymorph in this dataset in meV/atom: 91.3

Unit cell a=5.418 b=8.053 c=9.325 alpha=115.58 beta=106.87 gamma=90.00
Sites, in units of the cell vectors:
Dy 0.801 0.301 0.602
Dy 0.199 0.699 0.398
La 0.500 0.000 0.000
Tm 0.642 0.849 0.284
Tm 0.837 0.837 0.674
Tm 0.358 0.565 0.716
Tm 0.000 0.296 0.000
Tm 0.000 0.704 0.000
Tm 0.642 0.435 0.284
Tm 0.358 0.151 0.716
Tm 0.163 0.163 0.326

(4)
The following is a PBE calculation of a geometry-optimized LaHo3Th4Se8 structure, from Alexandria.

Computed properties:
Raw formation energy in eV/atom: -1.66
N(E_F) in states/eV/f.u.: 5.4
Crystal system: trigonal
Volume in Å³/cell: 407.78

Unit cell a=8.150 b=8.508 c=8.150 alpha=118.60 beta=120.01 gamma=90.00
Sites, in units of the cell vectors:
Th 0.500 0.000 0.000
Th 0.000 0.000 0.000
Th 0.000 0.000 0.500
Th 0.500 0.000 0.500
Ho 0.000 0.500 0.500
Ho 0.500 0.500 0.500
Ho 0.500 0.500 0.000
Se 0.256 0.267 0.512
Se 0.749 0.262 0.012
Se 0.251 0.738 0.502
Se 0.251 0.738 0.988
Se 0.737 0.738 0.988
Se 0.263 0.262 0.012
Se 0.749 0.262 0.498
Se 0.744 0.733 0.488
La 0.000 0.500 0.000

Number 1: E -8.73 eV for the cell shown, total magnetic moment 0.3088 μB/atom. Number 2: E -39.15 eV for the cell shown, total magnetic moment 0.0000 μB/atom. Number 3: E -48.55 eV for the cell shown, total magnetic moment 0.0000 μB/atom. Number 4: E -102.74 eV for the cell shown, total magnetic moment 0.0000 μB/atom.